Cd2ReMo: optimized geometry, PBE.

Calculated values
* calculated total energy: -22.8 eV per cell
* total magnetization: 0.000 Bohr magnetons per cell
* relative energy among the computed polymorphs: 30.65 kJ per mole of atoms
* D(E_F): 3.36 states/eV/f.u.
* V: 17.51 Å³/atom
* ΔE_f: 228 kJ/mol of formula units

Cell lengths 4.822, 2.752, 5.402 Å; angles 77.61, 90.00, 90.00 degrees
Fractional coordinates of all 4 atoms:
Cd1 0.000 0.973 0.998
Cd2 0.000 0.527 0.502
Mo1 0.500 0.250 0.250
Re1 0.500 0.750 0.750

---

CdRe2Mo: optimized geometry, PBE.

Calculated values
* calculated total energy: -34.8 eV per cell
* total magnetization: 0.000 Bohr magnetons per cell
* D(E_F): 3.19 states/eV/f.u.
* V: 16.38 Å³/atom
* ΔE_f: 177 kJ/mol of formula units

Cell lengths 5.006, 5.006, 4.865 Å; angles 77.46, 77.46, 33.50 degrees
Fractional coordinates of all 4 atoms:
Cd1 0.250 0.250 0.250
Mo1 0.750 0.750 0.750
Re1 0.014 0.014 0.973
Re2 0.486 0.486 0.527

---

CdRe2Mo: optimized geometry, PBE.

Calculated values
* calculated total energy: -34.8 eV per cell
* total magnetization: 0.000 Bohr magnetons per cell
* D(E_F): 3.34 states/eV/f.u.
* V: 16.50 Å³/atom
* ΔE_f: 182 kJ/mol of formula units

Cell lengths 2.834, 2.834, 8.215 Å; angles 90.00, 90.00, 90.00 degrees
Fractional coordinates of all 4 atoms:
Cd1 0.500 0.500 0.250
Mo1 0.500 0.500 0.750
Re1 0.000 0.000 0.978
Re2 0.000 0.000 0.522

---

TaCdReMo2: optimized geometry, PBE.

Calculated values
* calculated total energy: -33.5 eV per cell
* total magnetization: 0.000 Bohr magnetons per cell
* D(E_F): 8.20 states/eV/f.u.
* V: 21.48 Å³/atom
* ΔE_f: 1291 kJ/mol of formula units

Cell lengths 4.743, 4.773, 4.743 Å; angles 90.00, 90.00, 90.00 degrees
Fractional coordinates of all 5 atoms:
Re1 0.000 0.500 0.000
Mo1 0.000 0.000 0.500
Mo2 0.500 0.000 0.000
Cd1 0.000 0.000 0.000
Ta1 0.500 0.500 0.500

---

CdReMo2W: optimized geometry, PBE.

Calculated values
* calculated total energy: -32.9 eV per cell
* total magnetization: 0.000 Bohr magnetons per cell
* D(E_F): 8.76 states/eV/f.u.
* V: 21.06 Å³/atom
* ΔE_f: 1456 kJ/mol of formula units

Cell lengths 4.717, 4.733, 4.717 Å; angles 90.00, 90.00, 90.00 degrees
Fractional coordinates of all 5 atoms:
Re1 0.000 0.500 0.000
Mo1 0.000 0.000 0.500
Mo2 0.500 0.000 0.000
W1 0.500 0.500 0.500
Cd1 0.000 0.000 0.000

---

CdMo2Rh: optimized geometry, PBE.

Calculated values
* calculated total energy: -54.2 eV per cell
* total magnetization: 0.000 Bohr magnetons per cell
* D(E_F): 3.79 states/eV/f.u.
* V: 17.99 Å³/atom
* ΔE_f: 273 kJ/mol of formula units

Cell lengths 7.399, 7.399, 5.855 Å; angles 50.82, 50.82, 90.00 degrees
Fractional coordinates of all 8 atoms:
Mo1 0.588 0.125 0.250
Mo2 0.162 0.625 0.250
Mo3 0.375 0.412 0.750
Mo4 0.875 0.838 0.750
Rh1 0.500 0.500 0.000
Rh2 0.250 0.750 0.500
Cd1 0.000 0.000 0.000
Cd2 0.750 0.250 0.500

---

Cd2MoRh: optimized geometry, PBE.

Calculated values
* calculated total energy: -34.0 eV per cell
* total magnetization: 0.000 Bohr magnetons per cell
* relative energy among the computed polymorphs: 71.20 kJ per mole of atoms
* D(E_F): 3.40 states/eV/f.u.
* V: 19.13 Å³/atom
* ΔE_f: 289 kJ/mol of formula units

Cell lengths 7.576, 7.576, 5.984 Å; angles 50.72, 50.72, 90.00 degrees
Fractional coordinates of all 8 atoms:
Mo1 0.500 0.500 0.000
Mo2 0.250 0.750 0.500
Rh1 0.000 0.000 0.000
Rh2 0.750 0.250 0.500
Cd1 0.639 0.125 0.250
Cd2 0.111 0.625 0.250
Cd3 0.375 0.361 0.750
Cd4 0.875 0.889 0.750

---

Cd2MoRh: optimized geometry, PBE.

Calculated values
* calculated total energy: -18.9 eV per cell
* total magnetization: 0.000 Bohr magnetons per cell
* relative energy among the computed polymorphs: 26.00 kJ per mole of atoms
* D(E_F): 3.93 states/eV/f.u.
* V: 17.31 Å³/atom
* ΔE_f: 108 kJ/mol of formula units

Cell lengths 2.846, 2.846, 8.550 Å; angles 90.00, 90.00, 89.94 degrees
Fractional coordinates of all 4 atoms:
Cd1 0.000 0.000 0.987
Cd2 0.000 0.000 0.513
Mo1 0.500 0.500 0.250
Rh1 0.500 0.500 0.750

---

CdMo2Rh: optimized geometry, PBE.

Calculated values
* calculated total energy: -29.1 eV per cell
* total magnetization: 0.000 Bohr magnetons per cell
* D(E_F): 3.73 states/eV/f.u.
* V: 16.16 Å³/atom
* ΔE_f: 85 kJ/mol of formula units

Cell lengths 5.209, 5.209, 5.209 Å; angles 137.12, 137.12, 62.25 degrees
Fractional coordinates of all 4 atoms:
Cd1 0.750 0.250 0.500
Mo1 0.000 0.000 0.000
Mo2 0.500 0.500 0.000
Rh1 0.250 0.750 0.500

---

Cd2MoRh: optimized geometry, PBE.

Calculated values
* calculated total energy: -19.2 eV per cell
* total magnetization: 0.000 Bohr magnetons per cell
* relative energy among the computed polymorphs: 17.94 kJ per mole of atoms
* D(E_F): 1.83 states/eV/f.u.
* V: 17.84 Å³/atom
* ΔE_f: 76 kJ/mol of formula units

Cell lengths 4.446, 2.851, 5.748 Å; angles 78.29, 90.00, 90.00 degrees
Fractional coordinates of all 4 atoms:
Cd1 0.000 0.972 0.989
Cd2 0.500 0.269 0.259
Mo1 0.000 0.613 0.526
Rh1 0.500 0.646 0.725

---

Cd2MoRh2: optimized geometry, PBE.

Calculated values
* calculated total energy: -52.8 eV per cell
* total magnetization: 0.000 Bohr magnetons per cell
* D(E_F): 4.28 states/eV/f.u.
* V: 18.07 Å³/atom
* ΔE_f: 94 kJ/mol of formula units

Cell lengths 6.513, 6.513, 4.261 Å; angles 90.00, 90.00, 90.00 degrees
Fractional coordinates of all 10 atoms:
Mo1 0.000 0.000 0.000
Mo2 0.500 0.500 0.000
Rh1 0.359 0.859 0.000
Rh2 0.859 0.641 0.000
Rh3 0.641 0.141 0.000
Rh4 0.141 0.359 0.000
Cd1 0.166 0.666 0.500
Cd2 0.666 0.834 0.500
Cd3 0.834 0.334 0.500
Cd4 0.334 0.166 0.500

---

CdMoRh2: optimized geometry, PBE.

Calculated values
* calculated total energy: -26.8 eV per cell
* total magnetization: 0.000 Bohr magnetons per cell
* D(E_F): 3.79 states/eV/f.u.
* V: 15.92 Å³/atom
* ΔE_f: -32 kJ/mol of formula units

Cell lengths 9.206, 9.206, 9.206 Å; angles 17.80, 17.80, 17.80 degrees
Fractional coordinates of all 4 atoms:
Cd1 0.250 0.250 0.250
Mo1 0.750 0.750 0.750
Rh1 0.006 0.006 0.006
Rh2 0.494 0.494 0.494